Record 1
This record from Alexandria via LeMat-Bulk describes a relaxed MgCdSb2I crystal. The functional is GGA-PBE.

abc: 5.5237 5.5237 5.6265
angles: 90.00 90.00 90.00
With the nearest neighbours (Å) after each atom.
Positions (direct):
Sb  0.0000  0.5000  0.0000  2 Mg 2.76
Sb  0.5000  0.0000  0.0000  2 Mg 2.76
Mg  0.0000  0.0000  0.0000  4 Sb 2.76, 2 I 2.81
I  0.0000  0.0000  0.5000  2 Mg 2.81
Cd  0.5000  0.5000  0.5000  4 I 3.91, 8 Sb 3.94

Calculated values
SG: P4/mmm
Energy above the most stable polymorph in this dataset in meV per atom: 0

***

Record 2
This record from Alexandria via LeMat-Bulk describes a relaxed MgCdSbI2 crystal. The functional is GGA-PBE.

abc: 5.6687 5.6687 5.8025
angles: 90.00 90.00 90.00
With the nearest neighbours (Å) after each atom.
Positions (direct):
Mg  0.0000  0.0000  0.0000  4 I 2.83, 2 Sb 2.90
I  0.0000  0.5000  0.0000  2 Mg 2.83
I  0.5000  0.0000  0.0000  2 Mg 2.83
Sb  0.0000  0.0000  0.5000  2 Mg 2.90
Cd  0.5000  0.5000  0.5000  4 Sb 4.01, 8 I 4.06

Calculated values
SG: P4/mmm
Energy above the most stable polymorph in this dataset in meV per atom: 0

***

Record 3
This record from Alexandria via LeMat-Bulk describes a relaxed MgCdSb2I crystal. The functional is GGA-PBE.

abc: 5.8647 5.5124 5.8647
angles: 90.00 90.00 90.00
With the nearest neighbours (Å) after each atom.
Positions (direct):
I  0.0000  0.0000  0.0000  2 Mg 2.76, 4 Sb 2.93
Sb  0.0000  0.0000  0.5000  2 I 2.93
Sb  0.5000  0.0000  0.0000  2 I 2.93
Cd  0.5000  0.5000  0.5000  8 Sb 4.02, 4 Mg 4.15
Mg  0.0000  0.5000  0.0000  2 I 2.76

Calculated values
SG: P4/mmm
Energy above the most stable polymorph in this dataset in meV per atom: 444

***

Record 4
This record from Alexandria via LeMat-Bulk describes a relaxed MgTa2CdI crystal. The functional is GGA-PBE.

abc: 5.0448 5.5672 5.0448
angles: 90.00 90.00 90.00
With the nearest neighbours (Å) after each atom.
Positions (direct):
Cd  0.0000  0.5000  0.0000  2 I 2.78
I  0.0000  0.0000  0.0000  4 Ta 2.52, 2 Cd 2.78
Ta  0.5000  0.0000  0.0000  2 I 2.52
Ta  0.0000  0.0000  0.5000  2 I 2.52
Mg  0.5000  0.5000  0.5000  4 Cd 3.57, 8 Ta 3.76

Calculated values
SG: P4/mmm

***

Record 5
This record from Alexandria via LeMat-Bulk describes a relaxed Mg2CdTeI crystal. The functional is GGA-PBE.

abc: 5.7584 6.0196 5.7584
angles: 90.00 90.00 90.00
With the nearest neighbours (Å) after each atom.
Positions (direct):
Te  0.0000  0.5000  0.0000  2 I 3.01
Mg  0.0000  0.0000  0.5000  2 I 2.88
Mg  0.5000  0.0000  0.0000  2 I 2.88
Cd  0.5000  0.5000  0.5000  4 Te 4.07, 8 Mg 4.17
I  0.0000  0.0000  0.0000  4 Mg 2.88, 2 Te 3.01

Calculated values
SG: P4/mmm

***

Record 6
This record from Alexandria via LeMat-Bulk describes a relaxed MgCdTe2I crystal. The functional is GGA-PBE.

abc: 5.6018 5.6018 5.5505
angles: 90.00 90.00 90.00
With the nearest neighbours (Å) after each atom.
Positions (direct):
Cd  0.5000  0.5000  0.5000  8 Te 3.94, 4 I 3.96
Mg  0.0000  0.0000  0.0000  2 I 2.78, 4 Te 2.80
Te  0.0000  0.5000  0.0000  2 Mg 2.80
Te  0.5000  0.0000  0.0000  2 Mg 2.80
I  0.0000  0.0000  0.5000  2 Mg 2.78

Calculated values
SG: P4/mmm
Energy above the most stable polymorph in this dataset in meV per atom: 0

***

Record 7
This record from Alexandria via LeMat-Bulk describes a relaxed MgCdTeI2 crystal. The functional is GGA-PBE.

abc: 5.5956 5.5956 5.8353
angles: 90.00 90.00 90.00
With the nearest neighbours (Å) after each atom.
Positions (direct):
Cd  0.5000  0.5000  0.5000  4 Te 3.96, 8 I 4.04
I  0.5000  0.0000  0.0000  2 Mg 2.80
I  0.0000  0.5000  0.0000  2 Mg 2.80
Mg  0.0000  0.0000  0.0000  4 I 2.80, 2 Te 2.92
Te  0.0000  0.0000  0.5000  2 Mg 2.92

Calculated values
SG: P4/mmm
Energy above the most stable polymorph in this dataset in meV per atom: 0

***

Record 8
This record from Alexandria via LeMat-Bulk describes a relaxed Mn3CdI8 crystal. The functional is GGA-PBE.

abc: 8.4036 8.4074 8.9833
angles: 118.47 90.00 119.98
With the nearest neighbours (Å) after each atom.
Positions (direct):
I  0.2670  0.0196  0.7765  2 Mn 2.92, 1 Cd 3.01
I  0.2474  0.9804  0.2235  2 Mn 2.92, 1 Cd 3.01
I  0.7526  0.0196  0.7765  2 Mn 2.92, 1 Cd 3.01
I  0.7524  0.5048  0.7766  2 Mn 2.92, 1 Cd 3.01
I  0.7330  0.9804  0.2235  2 Mn 2.92, 1 Cd 3.01
I  0.2591  0.5181  0.7812  3 Mn 2.93
I  0.7409  0.4819  0.2188  3 Mn 2.93
I  0.2476  0.4952  0.2234  2 Mn 2.92, 1 Cd 3.01
Mn  0.5000  0.5000  0.0000  6 I 2.92-2.93
Mn  0.5000  0.0000  0.0000  6 I 2.92-2.93
Mn  0.0000  0.5000  0.0000  6 I 2.92-2.93
Cd  0.0000  0.0000  0.0000  6 I 3.01

Calculated values
SG: C2/m

***

Record 9
This record from Alexandria via LeMat-Bulk describes a relaxed Mn2CdI8 crystal. The functional is GGA-PBE.

abc: 9.8490 8.8353 7.1079
angles: 78.78 90.00 123.87
With the nearest neighbours (Å) after each atom.
Positions (direct):
I  0.7011  0.8113  0.7921  1 Mn 2.63
I  0.2989  0.1887  0.2079  1 Mn 2.63
I  0.8167  0.6333  0.3175  1 Mn 2.61
I  0.1102  0.8113  0.7921  1 Mn 2.63
I  0.8898  0.1887  0.2079  1 Mn 2.63
I  0.1833  0.3667  0.6825  1 Mn 2.61
I  0.3618  0.7236  0.1641  1 Mn 2.55
I  0.6382  0.2764  0.8359  1 Mn 2.55
Mn  0.8140  0.6279  0.6861  4 I 2.55-2.63
Mn  0.1860  0.3721  0.3139  4 I 2.55-2.63
Cd  0.0000  0.0000  0.0000  6 I 3.02-3.08

Calculated values
SG: C2/m

***

Record 10
This record from Alexandria via LeMat-Bulk describes a relaxed MnCdI2 crystal. The functional is GGA-PBE.

abc: 5.4683 5.4683 5.4683
angles: 60.00 60.00 60.00
With the nearest neighbours (Å) after each atom.
Positions (direct):
I  0.2500  0.2500  0.2500  4 Cd 3.35, 4 Mn 3.35
I  0.7500  0.7500  0.7500  4 Cd 3.35, 4 Mn 3.35
Cd  0.5000  0.5000  0.5000  8 I 3.35
Mn  0.0000  0.0000  0.0000  8 I 3.35

Calculated values
SG: Fm-3m
Energy above the most stable polymorph in this dataset in meV per atom: 0

***

Record 11
This record from Alexandria via LeMat-Bulk describes a relaxed MnCd3I crystal. The functional is GGA-PBE.

abc: 5.4173 5.4173 5.4173
angles: 90.00 90.00 90.00
With the nearest neighbours (Å) after each atom.
Positions (direct):
I  0.5000  0.5000  0.5000  12 Cd 3.83
Cd  0.0000  0.0000  0.5000  2 Mn 2.71
Cd  0.0000  0.5000  0.0000  2 Mn 2.71
Cd  0.5000  0.0000  0.0000  2 Mn 2.71
Mn  0.0000  0.0000  0.0000  6 Cd 2.71

Calculated values
SG: Pm-3m
Energy above the most stable polymorph in this dataset in meV per atom: 0

***

Record 12
This record from Alexandria via LeMat-Bulk describes a relaxed MnCd2I crystal. The functional is GGA-PBE.

abc: 5.2435 5.2435 5.2435
angles: 60.00 60.00 60.00
With the nearest neighbours (Å) after each atom.
Positions (direct):
Cd  0.2500  0.2500  0.2500  4 Mn 3.21, 4 I 3.21
Cd  0.7500  0.7500  0.7500  4 Mn 3.21, 4 I 3.21
I  0.5000  0.5000  0.5000  8 Cd 3.21
Mn  0.0000  0.0000  0.0000  8 Cd 3.21

Calculated values
SG: Fm-3m
Energy above the most stable polymorph in this dataset in meV per atom: 333

***

| no. | formation energy without anion corrections (meV/atom) | V (Å³/atom) |
| --- | --- | --- |
| 1 | 363 | 34.335 |
| 2 | 22 | 37.292 |
| 3 | 807 | 37.919 |
| 4 | 1810 | 28.337 |
| 5 | 475 | 39.921 |
| 6 | 54 | 34.835 |
| 7 | -166 | 36.542 |
| 8 | -464 | 38.248 |
| 9 | -323 | 45.386 |
| 10 | 255 | 28.906 |
| 11 | 338 | 31.796 |
| 12 | 646 | 25.485 |